# LiLaTbLu

LiLaTbLu after structural relaxation (PBE, the Alexandria database).

Computed properties:
Total DFT energy (no corrections)   -3.85 eV per atom
ΔE_f   0.1465 eV/atom
N(E_F)   1.085 states/eV/atom
Density   6.62 g cm⁻³
Magnetic moment   0.0 μB per formula unit

Cell lengths 7.838, 7.838, 7.838 Å; angles 90.00, 90.00, 90.00 degrees
Space group F-43m (No. 216)
Inequivalent atoms, fractional coordinates:
Li  0.000  0.000  0.000 (multiplicity 4)
La  0.250  0.250  0.750 (multiplicity 4)
Tb  0.250  0.250  0.250 (multiplicity 4)
Lu  0.000  0.000  0.500 (multiplicity 4)